No. 1
This record from Alexandria describes a relaxed structure of Nd2ZnFe. The functional is PBE-GGA.

Cell lengths 3.313, 3.313, 10.720 Å; angles 81.11, 81.11, 60.00 degrees
Each line ends with the local moment (μB).
Fractional positions:
1 Zn 0.500 0.500 0.500  0.02
2 Nd 0.087 0.087 0.738  -0.08
3 Nd 0.913 0.913 0.262  -0.08
4 Fe 0.000 0.000 0.000  2.72

## Properties
**Raw total energy**: -4.240 eV per atom
**Formation enthalpy at 0 K**: 0.58 eV/atom
**SG**: R-3m


No. 2
This record from Alexandria describes a relaxed structure of NdZrFe4. The functional is PBE-GGA.

Cell lengths 5.119, 5.119, 5.119 Å; angles 60.00, 60.00, 60.00 degrees
Each line ends with the local moment (μB).
Fractional positions:
1 Nd 0.000 0.000 0.000  -0.32
2 Fe 0.624 0.624 0.127  2.06
3 Fe 0.624 0.127 0.624  2.06
4 Fe 0.624 0.624 0.624  2.06
5 Fe 0.127 0.624 0.624  2.06
6 Zr 0.250 0.250 0.250  -0.66

## Properties
**Raw total energy**: -7.899 eV per atom
**Formation enthalpy at 0 K**: -0.04 eV/atom
**SG**: F-43m


No. 3
This record from Alexandria describes a relaxed structure of NdZr2Fe. The functional is PBE-GGA.

Cell lengths 3.307, 3.307, 10.169 Å; angles 80.64, 80.64, 60.00 degrees
Each line ends with the local moment (μB).
Fractional positions:
1 Nd 0.000 0.000 0.000  0.01
2 Fe 0.500 0.500 0.500  0.49
3 Zr 0.109 0.109 0.672  -0.09
4 Zr 0.891 0.891 0.328  -0.09

## Properties
**Raw total energy**: -7.272 eV per atom
**E above lowest polymorph**: 255 meV per atom
**Formation enthalpy at 0 K**: 0.31 eV/atom
**SG**: R-3m


No. 4
This record from Alexandria describes a relaxed structure of NdZr2Fe. The functional is PBE-GGA.

Cell lengths 3.277, 3.277, 8.288 Å; angles 90.00, 90.00, 90.00 degrees
Each line ends with the local moment (μB).
Fractional positions:
1 Nd 0.500 0.500 0.500  -0.02
2 Fe 0.500 0.500 0.000  1.19
3 Zr 0.000 0.000 0.819  -0.26
4 Zr 0.000 0.000 0.181  -0.26

## Properties
**Raw total energy**: -7.527 eV per atom
**E above lowest polymorph**: 0 meV per atom
**Formation enthalpy at 0 K**: 0.05 eV/atom
**SG**: P4/mmm


No. 5
This record from Alexandria describes a relaxed structure of FeNi5. The functional is PBE-GGA.

Cell lengths 5.525, 5.525, 6.108 Å; angles 116.89, 116.89, 90.00 degrees
Each line ends with the local moment (μB).
Fractional positions:
1 Fe 0.250 0.250 0.500  2.70
2 Fe 0.750 0.750 0.500  2.70
3 Ni 0.000 0.000 0.000  0.61
4 Ni 0.500 0.500 0.000  0.61
5 Ni 0.284 0.784 0.269  0.71
6 Ni 0.485 0.284 0.269  0.71
7 Ni 0.784 0.985 0.269  0.71
8 Ni 0.515 0.716 0.731  0.71
9 Ni 0.216 0.015 0.731  0.71
10 Ni 0.015 0.515 0.731  0.71
11 Ni 0.716 0.216 0.731  0.71
12 Ni 0.985 0.485 0.269  0.71

## Properties
**Raw total energy**: -5.999 eV per atom
**Formation enthalpy at 0 K**: 0.23 eV/atom
**SG**: I4/mcm


No. 6
This record from Alexandria describes a relaxed structure of Fe2Ni. The functional is PBE-GGA.

Cell lengths 2.662, 6.443, 4.166 Å; angles 90.00, 90.00, 78.08 degrees
Each line ends with the local moment (μB).
Fractional positions:
1 Fe 0.020 0.959 0.000  2.58
2 Fe 0.353 0.295 0.000  2.77
3 Fe 0.535 0.930 0.500  2.58
4 Fe 0.203 0.594 0.500  2.77
5 Ni 0.683 0.633 0.000  0.81
6 Ni 0.872 0.256 0.500  0.81

## Properties
**Raw total energy**: -7.528 eV per atom
**Formation enthalpy at 0 K**: 0.04 eV/atom
**SG**: Cmcm


No. 7
This record from Alexandria describes a relaxed structure of Fe2Ni. The functional is PBE-GGA.

Cell lengths 3.558, 4.424, 5.092 Å; angles 107.79, 90.00, 113.71 degrees
Each line ends with the local moment (μB).
Fractional positions:
1 Fe 0.169 0.338 0.329  2.61
2 Fe 0.831 0.662 0.671  2.61
3 Fe 0.500 0.000 0.500  2.56
4 Fe 0.500 0.000 0.000  2.61
5 Ni 0.166 0.333 0.834  0.70
6 Ni 0.834 0.667 0.166  0.70

## Properties
**Raw total energy**: -7.558 eV per atom
**Formation enthalpy at 0 K**: 0.01 eV/atom
**SG**: C2/m


No. 8
This record from Alexandria describes a relaxed structure of Fe3Ni. The functional is PBE-GGA.

Cell lengths 2.512, 4.456, 4.397 Å; angles 100.58, 90.00, 106.37 degrees
Each line ends with the local moment (μB).
Fractional positions:
1 Ni 0.750 0.500 0.250  0.72
2 Fe 0.005 0.009 0.005  2.49
3 Fe 0.495 0.991 0.495  2.49
4 Fe 0.250 0.500 0.750  2.62

## Properties
**Raw total energy**: -7.743 eV per atom
**Formation enthalpy at 0 K**: 0.05 eV/atom
**SG**: C2/m


No. 9
This record from Alexandria describes a relaxed structure of Fe7Ni5. The functional is PBE-GGA.

Cell lengths 3.432, 5.190, 8.166 Å; angles 108.53, 90.00, 90.00 degrees
Each line ends with the local moment (μB).
Fractional positions:
1 Fe 0.000 0.164 0.831  2.67
2 Fe 0.500 0.500 0.000  2.54
3 Fe 0.000 0.836 0.169  2.67
4 Fe 0.000 0.667 0.831  2.67
5 Fe 0.000 0.333 0.169  2.67
6 Fe 0.500 0.671 0.343  2.71
7 Fe 0.500 0.329 0.657  2.71
8 Ni 0.500 0.165 0.330  0.70
9 Ni 0.000 0.500 0.500  0.73
10 Ni 0.500 0.835 0.670  0.70
11 Ni 0.500 0.000 0.000  0.77
12 Ni 0.000 0.000 0.500  0.73

## Properties
**Raw total energy**: -7.342 eV per atom
**Formation enthalpy at 0 K**: 0.00 eV/atom
**SG**: Cmmm


No. 10
This record from Alexandria describes a relaxed structure of Fe2Ni. The functional is PBE-GGA.

Cell lengths 4.099, 4.099, 4.854 Å; angles 90.00, 90.00, 120.00 degrees
Each line ends with the local moment (μB).
Fractional positions:
1 Fe 0.000 0.000 0.000  2.65
2 Fe 0.000 0.000 0.500  2.65
3 Fe 0.333 0.667 0.250  2.74
4 Fe 0.667 0.333 0.750  2.74
5 Ni 0.667 0.333 0.250  0.79
6 Ni 0.333 0.667 0.750  0.79

## Properties
**Raw total energy**: -7.476 eV per atom
**Formation enthalpy at 0 K**: 0.09 eV/atom
**SG**: P6_3/mmc


No. 11
This record from Alexandria describes a relaxed structure of FeNi3. The functional is PBE-GGA.

Cell lengths 4.489, 4.489, 4.489 Å; angles 90.00, 90.00, 90.00 degrees
Each line ends with the local moment (μB).
Fractional positions:
1 Fe 0.000 0.000 0.000  2.76
2 Fe 0.500 0.500 0.500  2.76
3 Ni 0.250 0.500 0.000  0.56
4 Ni 0.750 0.500 0.000  0.56
5 Ni 0.000 0.250 0.500  0.56
6 Ni 0.000 0.750 0.500  0.56
7 Ni 0.500 0.000 0.250  0.56
8 Ni 0.500 0.000 0.750  0.56

## Properties
**Raw total energy**: -6.397 eV per atom
**Formation enthalpy at 0 K**: 0.06 eV/atom
**SG**: Pm-3n


No. 12
This record from Alexandria describes a relaxed structure of Fe2Ni3. The functional is PBE-GGA.

Cell lengths 3.886, 3.886, 4.870 Å; angles 90.00, 90.00, 120.00 degrees
Each line ends with the local moment (μB).
Fractional positions:
1 Fe 0.667 0.333 0.166  2.79
2 Fe 0.333 0.667 0.834  2.79
3 Ni 0.000 0.000 0.000  0.76
4 Ni 0.667 0.333 0.650  0.79
5 Ni 0.333 0.667 0.350  0.79

## Properties
**Raw total energy**: -6.571 eV per atom
**E above lowest polymorph**: 329 meV per atom
**Formation enthalpy at 0 K**: 0.28 eV/atom
**SG**: P-3m1


No. 13
This record from Alexandria describes a relaxed structure of Fe4Ni3. The functional is PBE-GGA.

Cell lengths 2.915, 9.745, 2.915 Å; angles 81.40, 90.00, 98.60 degrees
Each line ends with the local moment (μB).
Fractional positions:
1 Fe 0.147 0.293 0.853  2.69
2 Fe 0.853 0.707 0.147  2.69
3 Fe 0.427 0.855 0.573  2.74
4 Fe 0.573 0.145 0.427  2.74
5 Ni 0.000 0.000 0.000  0.83
6 Ni 0.286 0.572 0.714  0.64
7 Ni 0.714 0.428 0.286  0.64

## Properties
**Raw total energy**: -7.286 eV per atom
**E above lowest polymorph**: 58 meV per atom
**Formation enthalpy at 0 K**: 0.03 eV/atom
**SG**: I4/mmm


No. 14
This record from Alexandria describes a relaxed structure of Fe2Ni. The functional is PBE-GGA.

Cell lengths 5.512, 5.512, 5.512 Å; angles 90.00, 90.00, 90.00 degrees
Each line ends with the local moment (μB).
Fractional positions:
1 Ni 0.000 0.000 0.000  0.79
2 Ni 0.500 0.500 0.000  0.79
3 Ni 0.500 0.000 0.500  0.79
4 Ni 0.000 0.500 0.500  0.79
5 Fe 0.370 0.370 0.370  2.81
6 Fe 0.630 0.630 0.630  2.81
7 Fe 0.870 0.130 0.630  2.81
8 Fe 0.130 0.870 0.370  2.81
9 Fe 0.630 0.870 0.130  2.81
10 Fe 0.370 0.130 0.870  2.81
11 Fe 0.130 0.630 0.870  2.81
12 Fe 0.870 0.370 0.130  2.81

## Properties
**Raw total energy**: -6.857 eV per atom
**Formation enthalpy at 0 K**: 0.71 eV/atom
**SG**: Pa-3


No. 15
This record from Alexandria describes a relaxed structure of Fe2Ni5. The functional is PBE-GGA.

Cell lengths 3.473, 3.437, 13.899 Å; angles 90.00, 97.18, 90.00 degrees
Each line ends with the local moment (μB).
Fractional positions:
1 Fe 0.104 0.250 0.208  2.92
2 Fe 0.896 0.750 0.792  2.92
3 Fe 0.322 0.250 0.645  2.91
4 Fe 0.678 0.750 0.355  2.91
5 Ni 0.967 0.250 0.934  0.53
6 Ni 0.033 0.750 0.066  0.53
7 Ni 0.532 0.250 0.065  0.55
8 Ni 0.468 0.750 0.935  0.55
9 Ni 0.750 0.250 0.500  0.52
10 Ni 0.250 0.750 0.500  0.52
11 Ni 0.188 0.250 0.377  0.69
12 Ni 0.812 0.750 0.623  0.69
13 Ni 0.406 0.250 0.812  0.70
14 Ni 0.594 0.750 0.188  0.70

## Properties
**Raw total energy**: -6.419 eV per atom
**E above lowest polymorph**: 168 meV per atom
**Formation enthalpy at 0 K**: 0.13 eV/atom
**SG**: Cmcm


No. 16
This record from Alexandria describes a relaxed structure of Fe3Ni. The functional is PBE-GGA.

Cell lengths 2.462, 2.462, 7.972 Å; angles 90.00, 90.00, 107.45 degrees
Each line ends with the local moment (μB).
Fractional positions:
1 Ni 0.500 0.500 0.250  0.70
2 Fe 0.000 0.000 0.003  2.57
3 Fe 0.500 0.500 0.750  2.42
4 Fe 0.000 0.000 0.497  2.57

## Properties
**Raw total energy**: -7.788 eV per atom
**Formation enthalpy at 0 K**: 0.00 eV/atom
**SG**: Cmmm


No. 17
This record from Alexandria describes a relaxed structure of Fe2Ni3. The functional is PBE-GGA.

Cell lengths 4.806, 4.806, 6.442 Å; angles 80.88, 80.88, 125.09 degrees
Each line ends with the local moment (μB).
Fractional positions:
1 Fe 0.800 0.356 0.103  2.79
2 Fe 0.458 0.903 0.897  2.79
3 Fe 0.653 0.708 0.397  2.79
4 Fe 0.106 0.050 0.603  2.79
5 Ni 0.263 0.347 0.202  0.73
6 Ni 0.549 0.465 0.798  0.73
7 Ni 0.215 0.799 0.298  0.73
8 Ni 0.097 0.513 0.702  0.73
9 Ni 0.929 0.929 0.000  0.72
10 Ni 0.679 0.179 0.500  0.72

## Properties
**Raw total energy**: -6.847 eV per atom
**E above lowest polymorph**: 53 meV per atom
**Formation enthalpy at 0 K**: 0.01 eV/atom
**SG**: Fdd2


No. 18
This record from Alexandria describes a relaxed structure of Fe2Ni. The functional is PBE-GGA.

Cell lengths 11.579, 11.579, 11.579 Å; angles 167.61, 167.61, 17.56 degrees
Each line ends with the local moment (μB).
Fractional positions:
1 Fe 0.578 0.578 0.000  2.64
2 Fe 0.172 0.672 0.500  2.64
3 Fe 0.422 0.422 0.000  2.64
4 Fe 0.328 0.828 0.500  2.64
5 Ni 0.000 0.000 0.000  0.65
6 Ni 0.750 0.250 0.500  0.65

## Properties
**Raw total energy**: -7.435 eV per atom
**Formation enthalpy at 0 K**: 0.13 eV/atom
**SG**: I4_1/amd


No. 19
This record from Alexandria describes a relaxed structure of FeNi4. The functional is PBE-GGA.

Cell lengths 4.301, 4.672, 4.301 Å; angles 117.41, 90.00, 117.41 degrees
Each line ends with the local moment (μB).
Fractional positions:
1 Fe 0.000 0.000 0.000  3.15
2 Ni 0.250 0.500 0.750  0.70
3 Ni 0.750 0.500 0.250  0.70
4 Ni 0.650 0.301 0.650  0.74
5 Ni 0.350 0.699 0.350  0.74

## Properties
**Raw total energy**: -5.709 eV per atom
**E above lowest polymorph**: 655 meV per atom
**Formation enthalpy at 0 K**: 0.61 eV/atom
**SG**: I4/mmm


No. 20
This record from Alexandria describes a relaxed structure of FeNi4. The functional is PBE-GGA.

Cell lengths 4.221, 4.221, 4.221 Å; angles 90.00, 90.00, 90.00 degrees
Each line ends with the local moment (μB).
Fractional positions:
1 Ni 0.000 0.000 0.000  0.64
2 Ni 0.500 0.000 0.500  0.76
3 Ni 0.000 0.500 0.500  0.76
4 Ni 0.500 0.500 0.000  0.76
5 Fe 0.500 0.500 0.500  2.58

## Properties
**Raw total energy**: -5.111 eV per atom
**E above lowest polymorph**: 1253 meV per atom
**Formation enthalpy at 0 K**: 1.21 eV/atom
**SG**: Pm-3m


No. 21
This record from Alexandria describes a relaxed structure of Fe4Ni. The functional is PBE-GGA.

Cell lengths 5.810, 5.810, 5.810 Å; angles 146.35, 146.35, 48.32 degrees
Each line ends with the local moment (μB).
Fractional positions:
1 Fe 0.250 0.750 0.500  1.71
2 Fe 0.750 0.250 0.500  1.71
3 Fe 0.596 0.596 0.000  -1.48
4 Fe 0.404 0.404 0.000  -1.48
5 Ni 0.000 0.000 0.000  -0.39

## Properties
**Raw total energy**: -7.395 eV per atom
**Formation enthalpy at 0 K**: 0.53 eV/atom
**SG**: I4/mmm


No. 22
This record from Alexandria describes a relaxed structure of Fe17Ni12. The functional is PBE-GGA.

Cell lengths 7.592, 7.592, 7.592 Å; angles 109.47, 109.47, 109.47 degrees
Each line ends with the local moment (μB).
Fractional positions:
1 Fe 0.685 0.281 0.685  2.66
2 Fe 0.403 0.719 0.403  2.66
3 Fe 0.315 0.000 0.597  2.66
4 Fe 0.597 0.000 0.315  2.66
5 Fe 0.315 0.597 0.000  2.66
6 Fe 0.597 0.315 0.000  2.66
7 Fe 0.403 0.403 0.719  2.66
8 Fe 0.685 0.685 0.281  2.66
9 Fe 0.000 0.597 0.315  2.66
10 Fe 0.000 0.315 0.597  2.66
11 Fe 0.281 0.685 0.685  2.66
12 Fe 0.719 0.403 0.403  2.66
13 Fe 0.000 0.356 0.000  2.66
14 Fe 0.644 0.644 0.644  2.66
15 Fe 0.000 0.000 0.356  2.66
16 Fe 0.356 0.000 0.000  2.66
17 Fe 0.000 0.000 0.000  2.79
18 Ni 0.191 0.814 0.191  0.75
19 Ni 0.377 0.186 0.377  0.75
20 Ni 0.809 0.000 0.623  0.75
21 Ni 0.623 0.000 0.809  0.75
22 Ni 0.809 0.623 0.000  0.75
23 Ni 0.623 0.809 0.000  0.75
24 Ni 0.377 0.377 0.186  0.75
25 Ni 0.191 0.191 0.814  0.75
26 Ni 0.000 0.623 0.809  0.75
27 Ni 0.000 0.809 0.623  0.75
28 Ni 0.814 0.191 0.191  0.75
29 Ni 0.186 0.377 0.377  0.75

## Properties
**Raw total energy**: -7.320 eV per atom
**Formation enthalpy at 0 K**: 0.03 eV/atom
**SG**: I-43m


No. 23
This record from Alexandria describes a relaxed structure of FeNi3. The functional is PBE-GGA.

Cell lengths 4.339, 4.339, 4.339 Å; angles 90.00, 90.00, 90.00 degrees
Each line ends with the local moment (μB).
Fractional positions:
1 Fe 0.000 0.000 0.000  2.58
2 Ni 0.500 0.000 0.000  0.84
3 Ni 0.000 0.500 0.000  0.84
4 Ni 0.000 0.000 0.500  0.84

## Properties
**Raw total energy**: -4.896 eV per atom
**Formation enthalpy at 0 K**: 1.56 eV/atom
**SG**: Pm-3m


No. 24
This record from Alexandria describes a relaxed structure of Fe5Ni7. The functional is PBE-GGA.

Cell lengths 2.510, 6.630, 8.644 Å; angles 73.64, 81.65, 79.09 degrees
Each line ends with the local moment (μB).
Fractional positions:
1 Fe 0.837 0.836 0.490  2.56
2 Fe 0.163 0.164 0.510  2.56
3 Fe 0.697 0.357 0.248  2.65
4 Fe 0.303 0.643 0.752  2.65
5 Fe 0.000 0.000 0.000  2.69
6 Ni 0.638 0.972 0.752  0.66
7 Ni 0.362 0.028 0.248  0.66
8 Ni 0.030 0.689 0.250  0.63
9 Ni 0.970 0.311 0.750  0.63
10 Ni 0.334 0.333 0.998  0.60
11 Ni 0.500 0.500 0.500  0.69
12 Ni 0.666 0.667 0.002  0.60

## Properties
**Raw total energy**: -6.930 eV per atom
**E above lowest polymorph**: 12 meV per atom
**Formation enthalpy at 0 K**: -0.03 eV/atom
**SG**: C2/m


no.,spin magnetization (μB/atom)
1,0.62
2,1.11
3,0.05
4,0.10
5,0.99
6,2.02
7,1.93
8,2.05
9,1.82
10,2.03
11,1.08
12,1.56
13,1.83
14,2.11
15,1.23
16,2.04
17,1.52
18,1.95
19,1.18
20,1.07
21,0.01
22,1.84
23,1.23
24,1.43